CdFeSi2 | GGA-PBE | relaxed

Cell and atoms, written as CIF:
```
data_CdFeSi2
_chemical_formula_sum 'Cd2 Fe2 Si4'
_cell_length_a 3.459
_cell_length_b 4.293
_cell_length_c 8.195
_cell_angle_alpha 90.00
_cell_angle_beta 90.00
_cell_angle_gamma 90.00
_space_group_name_H-M_alt 'I m m 2'
_space_group_IT_number 44
loop_
_space_group_symop_operation_xyz
'x,y,z'
'-x,-y,z'
'-x,y,z'
'x,-y,z'
'x+1/2,y+1/2,z+1/2'
'-x+1/2,-y+1/2,z+1/2'
'-x+1/2,y+1/2,z+1/2'
'x+1/2,-y+1/2,z+1/2'
loop_
_atom_site_label
_atom_site_type_symbol
_atom_site_fract_x
_atom_site_fract_y
_atom_site_fract_z
_atom_site_occupancy
Cd1 Cd 0.000 0.000 0.000 1
Fe1 Fe 0.000 0.500 0.229 1
Si1 Si 0.000 0.000 0.518 1
Si2 Si 0.000 0.500 0.768 1
```

For the total energy, the calculation gives -4.616 eV/atom. The value obtained for the calculated density is 6.1 Mg/m³. The value obtained for the uncorrected formation energy is 0.440 eV/atom.

Sm2TaWN6 | GGA-PBE | relaxed

Cell and atoms, written as CIF:
```
data_Sm2TaWN6
_chemical_formula_sum 'Sm4 Ta2 W2 N12'
_cell_length_a 5.596
_cell_length_b 5.721
_cell_length_c 9.726
_cell_angle_alpha 90.00
_cell_angle_beta 124.97
_cell_angle_gamma 90.00
_space_group_name_H-M_alt 'P 1 21/c 1'
_space_group_IT_number 14
loop_
_space_group_symop_operation_xyz
'x,y,z'
'-x,-y,-z'
'-x,y+1/2,-z+1/2'
'x,-y+1/2,z+1/2'
loop_
_atom_site_label
_atom_site_type_symbol
_atom_site_fract_x
_atom_site_fract_y
_atom_site_fract_z
_atom_site_occupancy
Sm1 Sm 0.241 0.049 0.250 1
Ta1 Ta 0.500 0.000 0.000 1
W1 W 0.000 0.000 0.500 1
N1 N 0.161 0.212 0.955 1
N2 N 0.244 0.706 0.956 1
N3 N 0.330 0.020 0.746 1
```

For the total energy, the calculation gives -9.406 eV/atom. The value obtained for the calculated density is 9.8 Mg/m³. The value obtained for the uncorrected formation energy is -0.987 eV/atom.